SrAc4Pb15 (PBE, relaxed); space group = P4/mmm, No. 123; total magnetization = 0.000 μB/atom; calculated total energy = -4.081 eV/atom; energy of formation from the pure elements = -9.079 kcal/mol of atoms
1.0
5.034 0.000 0.000
0.000 5.034 0.000
0.000 0.000 25.528
Sr Ac Pb
1 4 15
direct
0.000 0.000 0.000 Sr
0.000 0.000 0.200 Ac
0.000 0.000 0.400 Ac
0.000 0.000 0.600 Ac
0.000 0.000 0.800 Ac
0.000 0.500 0.098 Pb
0.000 0.500 0.299 Pb
0.000 0.500 0.500 Pb
0.000 0.500 0.701 Pb
0.000 0.500 0.902 Pb
0.500 0.000 0.098 Pb
0.500 0.000 0.299 Pb
0.500 0.000 0.500 Pb
0.500 0.000 0.701 Pb
0.500 0.000 0.902 Pb
0.500 0.500 0.000 Pb
0.500 0.500 0.199 Pb
0.500 0.500 0.400 Pb
0.500 0.500 0.600 Pb
0.500 0.500 0.801 Pb


Sr2AcPb (PBE, relaxed); space group = R-3m, No. 166; total magnetization = 0.000 μB/atom; E above lowest polymorph = 325 meV/atom; calculated total energy = -2.707 eV/atom; energy of formation from the pure elements = 2.042 kcal/mol of atoms
1.0
1.975 1.140 13.548
-1.975 1.140 13.548
0.000 -2.281 13.548
Sr Ac Pb
2 1 1
direct
0.084 0.084 0.084 Sr
0.916 0.916 0.916 Sr
0.500 0.500 0.500 Ac
0.000 0.000 0.000 Pb


Sr3AcTe6Pb2 (PBE, relaxed); uncorrected formation energy = -28.11 kcal/mol of atoms; space group = C2/m, No. 12; total magnetization = 0.000 μB/atom; calculated total energy = -4.171 eV/atom
1.0
10.273 -2.379 0.000
10.273 2.379 0.000
-2.090 0.000 9.156
Sr Ac Te Pb
3 1 6 2
direct
0.000 0.000 0.000 Sr
0.332 0.332 0.669 Sr
0.668 0.668 0.331 Sr
0.000 0.000 0.500 Ac
0.167 0.167 0.586 Te
0.168 0.168 0.079 Te
0.499 0.499 0.248 Te
0.501 0.501 0.752 Te
0.832 0.832 0.921 Te
0.833 0.833 0.414 Te
0.331 0.331 0.162 Pb
0.669 0.669 0.838 Pb


SrAcTlPb (PBE, relaxed); space group = Amm2, No. 38; total magnetization = 0.000 μB/atom; E above lowest polymorph = 0 meV/atom; calculated total energy = -3.434 eV/atom; energy of formation from the pure elements = -10.777 kcal/mol of atoms
1.0
4.775 0.000 0.000
0.000 2.511 6.178
0.000 -2.511 6.178
Sr Ac Tl Pb
1 1 1 1
direct
0.000 0.000 0.000 Sr
0.500 0.269 0.269 Ac
0.000 0.720 0.720 Tl
0.500 0.552 0.552 Pb


SrAcTlPb (PBE, relaxed); space group = F-43m, No. 216; total magnetization = 0.000 μB/atom; E above lowest polymorph = 22 meV/atom; calculated total energy = -3.411 eV/atom; energy of formation from the pure elements = -10.261 kcal/mol of atoms
1.0
0.000 4.130 4.130
4.130 0.000 4.130
4.130 4.130 0.000
Sr Ac Tl Pb
1 1 1 1
direct
0.000 0.000 0.000 Sr
0.500 0.500 0.500 Ac
0.750 0.750 0.750 Tl
0.250 0.250 0.250 Pb


AcTaPb (PBE, relaxed); space group = P4/nmm, No. 129; total magnetization = 0.000 μB/atom; calculated total energy = -6.417 eV/atom; energy of formation from the pure elements = 3.217 kcal/mol of atoms
1.0
3.699 0.000 0.000
0.000 3.699 0.000
0.000 0.000 13.040
Ac Ta Pb
2 2 2
direct
0.250 0.250 0.219 Ac
0.750 0.750 0.781 Ac
0.250 0.250 0.959 Ta
0.750 0.750 0.041 Ta
0.250 0.250 0.577 Pb
0.750 0.750 0.423 Pb


D(E_F) values, unit states/eV/cell, following the record order: 11.12; 4.10; 3.40; 2.20; 2.05; 4.28.